Entry 1:
Entry from Alexandria: LiLa2Nd3Te6 after structural relaxation (PBE).

E_form (uncorrected) = -1.45 eV per atom
Energy = -5.1955 eV/atom
Crystal system = monoclinic

Cell: 19.6646 4.5000 9.0301 Å, 90.00 103.79 90.00°
Space group C2/m (No. 12)
Unique sites:
Li 0.0000 0.0000 0.0000
La 0.1659 0.5000 0.3330
Nd 0.0000 0.0000 0.5000
Nd 0.1695 0.5000 0.8307
Te 0.0025 0.5000 0.7602
Te 0.1602 0.0000 0.0743
Te 0.1652 0.0000 0.5847


Entry 2:
Entry from Alexandria: Nd2PaZnRu2 after structural relaxation (PBE).

Calculated formation energy = -0.312 eV/atom
Energy = -6.7885 eV/atom
Crystal system = orthorhombic

Cell: 6.4356 13.1562 6.7844 Å, 90.00 90.00 90.00°
Space group Ibam (No. 72)
Unique sites:
Nd 0.1813 0.1788 0.0000
Pa 0.0000 0.5000 0.2500
Zn 0.0000 0.0000 0.2500
Ru 0.2353 0.4077 0.0000


Entry 3:
Entry from Alexandria: Cu3BiAs after structural relaxation (PBE).

Calculated formation energy = 1.076 eV/atom
Energy = -3.0880 eV/atom
Crystal system = cubic

Cell: 4.9455 4.9455 4.9455 Å, 90.00 90.00 90.00°
Space group Pm-3m (No. 221)
Unique sites:
Cu 0.0000 0.0000 0.5000
Bi 0.0000 0.0000 0.0000
As 0.5000 0.5000 0.5000


Entry 4:
Entry from Alexandria: SrGaRh2 after structural relaxation (PBE).

Calculated formation energy = -0.265 eV/atom
Energy = -5.1178 eV/atom
Crystal system = tetragonal

Cell: 4.2200 4.2200 9.2269 Å, 90.00 90.00 90.00°
Space group P4/nmm (No. 129, origin choice 2)
Unique sites:
Sr 0.2500 0.2500 0.2172
Ga 0.2500 0.2500 0.6436
Rh 0.2500 0.2500 0.9111
Rh 0.2500 0.7500 0.5000


Entry 5:
Entry from Alexandria: AcCe2Ag2Ge2 after structural relaxation (PBE).

Calculated formation energy = -0.421 eV/atom
Energy = -4.8371 eV/atom
Crystal system = trigonal

Cell: 4.5561 4.5561 28.3078 Å, 90.00 90.00 120.00°
Space group R-3m (No. 166, hexagonal axes)
Unique sites:
Ac 0.0000 0.0000 0.0000
Ce 0.0000 0.0000 0.1437
Ag 0.0000 0.0000 0.4150
Ge 0.0000 0.0000 0.2573


Entry 6:
Entry from Alexandria: Tc2Rh after structural relaxation (PBE).

Calculated formation energy = -0.044 eV/atom
Energy = -9.4049 eV/atom
Crystal system = monoclinic

Cell: 5.4870 5.4832 11.7980 Å, 90.00 103.41 90.00°
Space group C2/c (No. 15)
Unique sites:
Tc 0.0821 0.1245 0.4158
Tc 0.2487 0.1241 0.7513
Rh 0.0828 0.3754 0.9160